# 1
DFT (GGA-PBE) results for a relaxed PrMnTlCl6 crystal.

## Properties
Uncorrected energy   -0.3222 Ry/atom

Unit cell a=6.6675 b=6.6675 c=14.3184 alpha=90.00 beta=90.00 gamma=120.00
Space group P-31c (No. 163)
One atom of each set of equivalent atoms:
Pr1 0.3333 0.6667 0.2500 x2
Mn1 0.3333 0.6667 0.7500 x2
Tl1 0.0000 0.0000 0.0000 x2
Cl1 0.0456 0.3864 0.6492 x12

---

# 2
DFT (GGA-PBE) results for a relaxed MnPtCl2 crystal.

## Properties
Uncorrected energy   -0.3372 Ry/atom
Polymorph energy (0 for the lowest one)   0.546 eV/atom

Unit cell a=3.075 b=5.558 c=8.750 alpha=90.00 beta=90.00 gamma=90.00
Space group Cmmm (No. 65)
One atom of each set of equivalent atoms:
Mn1 0.000 0.000 0.000 x2
Pt1 0.000 0.000 0.500 x2
Cl1 0.000 0.500 0.200 x4

---

# 3
DFT (GGA-PBE) results for a relaxed MnPtCl2 crystal.

## Properties
Uncorrected energy   -0.3652 Ry/atom
Polymorph energy (0 for the lowest one)   0.164 eV/atom

Unit cell a=3.618 b=5.391 c=8.588 alpha=90.00 beta=90.00 gamma=90.00
Space group Cmm2 (No. 35)
One atom of each set of equivalent atoms:
Mn1 0.000 0.000 0.000 x2
Pt1 0.000 0.500 0.201 x2
Cl1 0.000 0.000 0.402 x2
Cl2 0.000 0.500 0.816 x2

---

# 4
DFT (GGA-PBE) results for a relaxed MnPtCl crystal.

## Properties
Uncorrected energy   -0.4268 Ry/atom
Polymorph energy (0 for the lowest one)   0.099 eV/atom

Unit cell a=2.988 b=2.988 c=12.176 alpha=90.00 beta=90.00 gamma=90.00
Space group I4mm (No. 107)
One atom of each set of equivalent atoms:
Mn1 0.000 0.000 0.000 x2
Pt1 0.000 0.000 0.364 x2
Cl1 0.000 0.000 0.632 x2

---

| no. | ΔE_f (raw) (kcal/mol of atoms) |
| --- | --- |
| 1 | -30.90 |
| 2 | 3.19 |
| 3 | -5.62 |
| 4 | -2.79 |